VASP calculation (PBE-GGA) on a geometry-optimized CePm2Sc structure.

Computed properties:
energy relative to the lowest polymorph listed for this composition: 0.000 eV/atom
energy relative to the elements: 0.085 eV per atom
raw total energy: -5.36 eV/atom

Lattice parameters (Å, degrees): 3.5143 3.5143 34.0183 90.00 90.00 120.00
Space group R3m (No. 160, hexagonal axes)
Inequivalent atoms, fractional coordinates:
Ce1 0.0000 0.0000 0.0000 x3
Pm1 0.0000 0.0000 0.4185 x3
Pm2 0.0000 0.0000 0.5812 x3
Sc1 0.0000 0.0000 0.8333 x3

***

VASP calculation (PBE-GGA) on a geometry-optimized Ce2PmSc structure.

Computed properties:
energy relative to the lowest polymorph listed for this composition: 0.009 eV/atom
energy relative to the elements: 0.112 eV per atom
raw total energy: -5.63 eV/atom

Lattice parameters (Å, degrees): 4.7867 4.7867 5.0559 90.00 90.00 90.00
Space group P4/mmm (No. 123)
Inequivalent atoms, fractional coordinates:
Ce1 0.0000 0.5000 0.0000 x2
Pm1 0.0000 0.0000 0.5000 x1
Sc1 0.5000 0.5000 0.5000 x1

***

VASP calculation (PBE-GGA) on a geometry-optimized CePm14Sc structure.

Computed properties:
energy relative to the elements: 0.038 eV per atom
raw total energy: -4.89 eV/atom

Lattice parameters (Å, degrees): 7.2371 7.2371 10.2359 90.00 90.00 90.00
Space group P4/mmm (No. 123)
Inequivalent atoms, fractional coordinates:
Ce1 0.0000 0.0000 0.0000 x1
Pm1 0.0000 0.0000 0.5000 x1
Pm2 0.0000 0.5000 0.0000 x2
Pm3 0.0000 0.5000 0.5000 x2
Pm4 0.2512 0.2512 0.2449 x8
Pm5 0.5000 0.5000 0.5000 x1
Sc1 0.5000 0.5000 0.0000 x1

***

VASP calculation (PBE-GGA) on a geometry-optimized CePmSc structure.

Computed properties:
energy relative to the lowest polymorph listed for this composition: 0.002 eV/atom
energy relative to the elements: 0.094 eV per atom
raw total energy: -5.58 eV/atom

Lattice parameters (Å, degrees): 3.4703 3.4703 14.3768 90.00 90.00 90.00
Space group I4mm (No. 107)
Inequivalent atoms, fractional coordinates:
Ce1 0.0000 0.0000 0.0000 x2
Pm1 0.0000 0.0000 0.3296 x2
Sc1 0.0000 0.0000 0.6542 x2

***

VASP calculation (PBE-GGA) on a geometry-optimized CePm2Sc structure.

Computed properties:
energy relative to the lowest polymorph listed for this composition: 0.005 eV/atom
energy relative to the elements: 0.090 eV per atom
raw total energy: -5.35 eV/atom

Lattice parameters (Å, degrees): 3.5075 3.5075 9.9225 90.00 90.00 90.00
Space group P4/mmm (No. 123)
Inequivalent atoms, fractional coordinates:
Ce1 0.0000 0.0000 0.0000 x1
Pm1 0.5000 0.5000 0.2569 x2
Sc1 0.0000 0.0000 0.5000 x1

***

VASP calculation (PBE-GGA) on a geometry-optimized Ce2PmSc structure.

Computed properties:
energy relative to the lowest polymorph listed for this composition: 0.000 eV/atom
energy relative to the elements: 0.103 eV per atom
raw total energy: -5.63 eV/atom

Lattice parameters (Å, degrees): 3.4167 3.4167 34.1410 90.00 90.00 120.00
Space group R3m (No. 160, hexagonal axes)
Inequivalent atoms, fractional coordinates:
Ce1 0.0000 0.0000 0.0000 x3
Ce2 0.0000 0.0000 0.1580 x3
Pm1 0.0000 0.0000 0.5811 x3
Sc1 0.0000 0.0000 0.4118 x3

***

VASP calculation (PBE-GGA) on a geometry-optimized Ce3PmSc2Se6 structure.

Computed properties:
raw total energy: -6.41 eV/atom
formation energy from raw total energies: -1.734 eV per atom

Lattice parameters (Å, degrees): 7.0596 12.2345 7.1553 90.00 109.30 90.00
Space group C2/m (No. 12)
Inequivalent atoms, fractional coordinates:
Ce1 0.0000 0.0000 0.0000 x2
Ce2 0.0000 0.3402 0.0000 x4
Pm1 0.0000 0.5000 0.5000 x2
Sc1 0.0000 0.1677 0.5000 x4
Se1 0.2262 0.0000 0.7265 x4
Se2 0.2476 0.1743 0.2658 x8

***

VASP calculation (PBE-GGA) on a geometry-optimized CePm2ScSe4 structure.

Computed properties:
raw total energy: -6.21 eV/atom
formation energy from raw total energies: -1.750 eV per atom

Lattice parameters (Å, degrees): 7.1539 4.0953 7.1640 90.00 109.07 90.00
Space group P2/m (No. 10)
Inequivalent atoms, fractional coordinates:
Ce1 0.0000 0.0000 0.0000 x1
Pm1 0.5000 0.0000 0.5000 x1
Pm2 0.5000 0.5000 0.0000 x1
Sc1 0.0000 0.5000 0.5000 x1
Se1 0.2324 0.0000 0.7330 x2
Se2 0.2412 0.5000 0.2587 x2

***

VASP calculation (PBE-GGA) on a geometry-optimized Ce2PmScSe5 structure.

Computed properties:
raw total energy: -5.93 eV/atom
formation energy from raw total energies: -1.445 eV per atom

Lattice parameters (Å, degrees): 4.8681 4.8681 10.8653 90.00 90.00 90.00
Space group P4/mmm (No. 123)
Inequivalent atoms, fractional coordinates:
Ce1 0.0000 0.0000 0.1944 x2
Pm1 0.5000 0.5000 0.5000 x1
Sc1 0.5000 0.5000 0.0000 x1
Se1 0.0000 0.0000 0.5000 x1
Se2 0.0000 0.5000 0.0000 x2
Se3 0.5000 0.5000 0.2473 x2

***

VASP calculation (PBE-GGA) on a geometry-optimized CePmScSe3 structure.

Computed properties:
raw total energy: -6.16 eV/atom
formation energy from raw total energies: -1.583 eV per atom

Lattice parameters (Å, degrees): 7.8714 3.9886 10.3615 90.00 103.69 90.00
Space group P2_1/m (No. 11)
Inequivalent atoms, fractional coordinates:
Ce1 0.1828 0.2500 0.1220 x2
Pm1 0.1794 0.2500 0.7027 x2
Sc1 0.3404 0.7500 0.4034 x2
Se1 0.1047 0.2500 0.3966 x2
Se2 0.2138 0.7500 0.9229 x2
Se3 0.4637 0.7500 0.6724 x2

***

VASP calculation (PBE-GGA) on a geometry-optimized Ce2PmSc3Se6 structure.

Computed properties:
raw total energy: -6.41 eV/atom
formation energy from raw total energies: -1.704 eV per atom

Lattice parameters (Å, degrees): 6.9215 12.0025 7.1025 90.00 108.96 90.00
Space group C2/m (No. 12)
Inequivalent atoms, fractional coordinates:
Ce1 0.0000 0.1667 0.0000 x4
Pm1 0.0000 0.5000 0.0000 x2
Sc1 0.0000 0.0000 0.5000 x2
Sc2 0.0000 0.3371 0.5000 x4
Se1 0.2406 0.1670 0.7229 x8
Se2 0.2427 0.5000 0.7256 x4

***

VASP calculation (PBE-GGA) on a geometry-optimized CePm2Sc3Se6 structure.

Computed properties:
raw total energy: -6.31 eV/atom
formation energy from raw total energies: -1.702 eV per atom

Lattice parameters (Å, degrees): 17.6972 3.9945 8.1709 90.00 104.74 90.00
Space group C2/m (No. 12)
Inequivalent atoms, fractional coordinates:
Ce1 0.0000 0.0000 0.0000 x2
Pm1 0.1664 0.5000 0.3333 x4
Sc1 0.0000 0.0000 0.5000 x2
Sc2 0.1675 0.5000 0.8368 x4
Se1 0.0060 0.5000 0.7349 x4
Se2 0.1611 0.0000 0.5992 x4
Se3 0.1726 0.0000 0.0702 x4